The following is a DFT calculation (PBE) of crystalline BeMoSe2 at its relaxed geometry.

Symmetry ... C2/m, No. 12
Formation energy (no corrections) ... 0.080 eV/atom
Size of the total moment ... 0.0 μB/f.u.

a b c (Å): 4.264 4.264 5.345
angles (deg): 91.44 91.44 46.25
Positions (direct):
1 Be 0.000 0.000 0.000
2 Mo 0.500 0.500 0.500
3 Se 0.196 0.196 0.270
4 Se 0.804 0.804 0.730